A relaxed structure of AlRh2PbO. Source: Alexandria, functional PBEsol.

## Properties
As for the total energy: -4.958 eV/atom.

Unit cell a=4.968 b=4.968 c=4.064 alpha=90.00 beta=90.00 gamma=90.00
Space group P4/mmm (No. 123)
Symmetry-distinct sites (fractional):
Al (0.000, 0.000, 0.000)
Rh (0.000, 0.500, 0.500)
Pb (0.500, 0.500, 0.500)
O (0.500, 0.500, 0.000)

---

A relaxed structure of BaCaRe. Source: Alexandria, functional PBEsol.

## Properties
The value obtained for the energy of formation from the pure elements is 41.92 kcal/mol of atoms. As for the energy above the most stable polymorph in this dataset: 752 meV/atom. As for the total energy: -4.054 eV/atom.

Unit cell a=6.998 b=6.998 c=6.998 alpha=90.00 beta=90.00 gamma=90.00
Space group F-43m (No. 216)
Symmetry-distinct sites (fractional):
Ba (0.000, 0.000, 0.000)
Ca (0.250, 0.250, 0.750)
Re (0.250, 0.250, 0.250)

---

A relaxed structure of Tl2TcMo. Source: Alexandria, functional PBEsol.

## Properties
The value obtained for the energy of formation from the pure elements is 20.08 kcal/mol of atoms. As for the energy above the most stable polymorph in this dataset: 0 meV/atom. As for the total energy: -6.203 eV/atom.

Unit cell a=3.119 b=4.705 c=5.006 alpha=90.00 beta=90.00 gamma=90.00
Space group Pmmm (No. 47)
Symmetry-distinct sites (fractional):
Tl (0.000, 0.000, 0.000)
Tl (0.500, 0.000, 0.500)
Tc (0.000, 0.500, 0.500)
Mo (0.500, 0.500, 0.000)

---

A relaxed structure of Li2CdPb. Source: Alexandria, functional PBEsol.

## Properties
The value obtained for the energy of formation from the pure elements is -6.39 kcal/mol of atoms. As for the energy above the most stable polymorph in this dataset: 10 meV/atom. As for the total energy: -2.559 eV/atom.

Unit cell a=4.805 b=4.805 c=3.347 alpha=90.00 beta=90.00 gamma=90.00
Space group P4/mmm (No. 123)
Symmetry-distinct sites (fractional):
Li (0.000, 0.500, 0.000)
Cd (0.000, 0.000, 0.500)
Pb (0.500, 0.500, 0.500)

---

Copy entry 3 word for word.
A relaxed structure of Tl2TcMo. Source: Alexandria, functional PBEsol.

## Properties
The value obtained for the energy of formation from the pure elements is 20.08 kcal/mol of atoms. As for the energy above the most stable polymorph in this dataset: 0 meV/atom. As for the total energy: -6.203 eV/atom.

Unit cell a=3.119 b=4.705 c=5.006 alpha=90.00 beta=90.00 gamma=90.00
Space group Pmmm (No. 47)
Symmetry-distinct sites (fractional):
Tl (0.000, 0.000, 0.000)
Tl (0.500, 0.000, 0.500)
Tc (0.000, 0.500, 0.500)
Mo (0.500, 0.500, 0.000)